DFT (PBE+U) results for a relaxed BaCoPO crystal.

```
8
Lattice="3.421 0.000 0.000 0.000 6.886 0.000 0.000 0.000 7.070" Properties=species:S:1:pos:R:3 pbc="T T T"
Ba 0.000 1.375 0.000
Ba 0.000 5.512 3.535
Co 1.710 2.007 2.906
Co 1.710 4.879 6.441
P 1.710 3.077 4.953
P 1.710 3.809 1.418
O 0.000 0.991 2.644
O 0.000 5.895 6.179
```

Crystal system ... orthorhombic
Final energy ... -5.18 eV per atom